{"formula": "Mn2P", "functional": "PBE-GGA", "state": "optimized geometry", "crystal_system": "orthorhombic", "magmom_total_mub_per_atom": 0.00, "formation_enthalpy_0k_ev_per_atom": -0.2661, "n_ef_per_ev_atom": 1.001, "rho_g_cm3": 7.1, "cell": [[3.427, -2.332, 0.000], [3.427, 2.332, 0.000], [0.000, 0.000, 4.137]], "species": ["Mn", "Mn", "Mn", "Mn", "P", "P"], "fractional_positions": [[0.004, 0.657, 0.750], [0.343, 0.996, 0.750], [0.657, 0.004, 0.250], [0.996, 0.343, 0.250], [0.286, 0.714, 0.250], [0.714, 0.286, 0.750]]}

---

{"formula": "Dy5Ru2Au", "functional": "PBE-GGA", "state": "optimized geometry", "crystal_system": "tetragonal", "magmom_total_mub_per_atom": 0.00, "formation_enthalpy_0k_ev_per_atom": -0.5083, "n_ef_per_ev_atom": 0.752, "rho_g_cm3": 10.4, "cell": [[-3.835, 3.835, 6.581], [3.835, -3.835, 6.581], [3.835, 3.835, -6.581]], "species": ["Dy", "Dy", "Dy", "Dy", "Dy", "Dy", "Dy", "Dy", "Dy", "Dy", "Ru", "Ru", "Ru", "Ru", "Au", "Au"], "fractional_positions": [[0.000, 0.000, 0.000], [0.024, 0.524, 0.820], [0.204, 0.024, 0.500], [0.296, 0.796, 0.820], [0.476, 0.296, 0.500], [0.500, 0.500, 0.000], [0.524, 0.704, 0.500], [0.704, 0.204, 0.180], [0.796, 0.976, 0.500], [0.976, 0.476, 0.180], [0.141, 0.359, 0.500], [0.359, 0.859, 0.218], [0.641, 0.141, 0.782], [0.859, 0.641, 0.500], [0.250, 0.250, 0.000], [0.750, 0.750, 0.000]]}